Entry from Alexandria: a relaxed structure of Ho19Er4Th6 (PBE).

Space-group type ... I23 (197)
DOS(E_F) ... 1.56 states/eV per atom
Magnetic moment ... 0.000 μB per atom
ΔE_f ... 0.42 eV/atom

Cell lengths 10.7238, 10.7238, 10.7238 Å; angles 109.47, 109.47, 109.47 degrees
With the nearest neighbours (Å) after each atom.
Fractional coordinates of all 29 atoms:
Ho: 0.0000 0.0000 0.0000  6 Ho 3.28
Ho: 0.0000 0.2646 0.2646  5 Ho 3.28-3.52, 2 Er 3.29, 2 Th 3.33
Ho: 0.0000 0.7354 0.7354  5 Ho 3.28-3.52, 2 Er 3.29, 2 Th 3.33
Ho: 0.0196 0.2104 0.6766  1 Th 3.20, 4 Ho 3.29-3.53, 2 Er 3.32-3.41
Ho: 0.1908 0.9804 0.6570  1 Th 3.20, 4 Ho 3.29-3.53, 2 Er 3.32-3.41
Ho: 0.2104 0.6766 0.0196  1 Th 3.20, 4 Ho 3.29-3.53, 2 Er 3.32-3.41
Ho: 0.2646 0.0000 0.2646  5 Ho 3.28-3.52, 2 Er 3.29, 2 Th 3.33
Ho: 0.2646 0.2646 0.0000  5 Ho 3.28-3.52, 2 Er 3.29, 2 Th 3.33
Ho: 0.3234 0.5338 0.3430  1 Th 3.20, 4 Ho 3.29-3.53, 2 Er 3.32-3.41
Ho: 0.3430 0.3234 0.5338  1 Th 3.20, 4 Ho 3.29-3.53, 2 Er 3.32-3.41
Ho: 0.4662 0.7896 0.8092  1 Th 3.20, 4 Ho 3.29-3.53, 2 Er 3.32-3.41
Ho: 0.5338 0.3430 0.3234  1 Th 3.20, 4 Ho 3.29-3.53, 2 Er 3.32-3.41
Ho: 0.6570 0.1908 0.9804  1 Th 3.20, 4 Ho 3.29-3.53, 2 Er 3.32-3.41
Ho: 0.6766 0.0196 0.2104  1 Th 3.20, 4 Ho 3.29-3.53, 2 Er 3.32-3.41
Ho: 0.7354 0.0000 0.7354  5 Ho 3.28-3.52, 2 Er 3.29, 2 Th 3.33
Ho: 0.7354 0.7354 0.0000  5 Ho 3.28-3.52, 2 Er 3.29, 2 Th 3.33
Ho: 0.7896 0.8092 0.4662  1 Th 3.20, 4 Ho 3.29-3.53, 2 Er 3.32-3.41
Ho: 0.8092 0.4662 0.7896  1 Th 3.20, 4 Ho 3.29-3.53, 2 Er 3.32-3.41
Ho: 0.9804 0.6570 0.1908  1 Th 3.20, 4 Ho 3.29-3.53, 2 Er 3.32-3.41
Er: 0.0000 0.0000 0.3556  9 Ho 3.29-3.41
Er: 0.0000 0.3556 0.0000  9 Ho 3.29-3.41
Er: 0.3556 0.0000 0.0000  9 Ho 3.29-3.41
Er: 0.6444 0.6444 0.6444  9 Ho 3.29-3.41
Th: 0.1301 0.5000 0.6301  4 Ho 3.20-3.33, 1 Th 3.22
Th: 0.3699 0.8699 0.5000  4 Ho 3.20-3.33, 1 Th 3.22
Th: 0.5000 0.3699 0.8699  4 Ho 3.20-3.33, 1 Th 3.22
Th: 0.5000 0.6301 0.1301  4 Ho 3.20-3.33, 1 Th 3.22
Th: 0.6301 0.1301 0.5000  4 Ho 3.20-3.33, 1 Th 3.22
Th: 0.8699 0.5000 0.3699  4 Ho 3.20-3.33, 1 Th 3.22

Entry from Alexandria: a relaxed structure of CaAc2SmCo (PBE).

Space-group type ... P4/mmm (123)
DOS(E_F) ... 1.11 states/eV per atom
Magnetic moment ... 0.000 μB per atom
ΔE_f ... 0.00 eV/atom

Cell lengths 5.7477, 5.7477, 5.4899 Å; angles 90.00, 90.00, 90.00 degrees
With the nearest neighbours (Å) after each atom.
Fractional coordinates of all 5 atoms:
Ca: 0.0000 0.0000 0.0000  8 Ac 3.97, 4 Sm 4.06
Ac: 0.0000 0.5000 0.5000  2 Co 2.87
Ac: 0.5000 0.0000 0.5000  2 Co 2.87
Sm: 0.5000 0.5000 0.0000  2 Co 2.74
Co: 0.5000 0.5000 0.5000  2 Sm 2.74, 4 Ac 2.87

What is the formula in the first record? Ho19Er4Th6

What did the first record say?
Entry from Alexandria: a relaxed structure of Ho19Er4Th6 (PBE).

Space-group type ... I23 (197)
DOS(E_F) ... 1.56 states/eV per atom
Magnetic moment ... 0.000 μB per atom
ΔE_f ... 0.42 eV/atom

Cell lengths 10.7238, 10.7238, 10.7238 Å; angles 109.47, 109.47, 109.47 degrees
With the nearest neighbours (Å) after each atom.
Fractional coordinates of all 29 atoms:
Ho: 0.0000 0.0000 0.0000  6 Ho 3.28
Ho: 0.0000 0.2646 0.2646  5 Ho 3.28-3.52, 2 Er 3.29, 2 Th 3.33
Ho: 0.0000 0.7354 0.7354  5 Ho 3.28-3.52, 2 Er 3.29, 2 Th 3.33
Ho: 0.0196 0.2104 0.6766  1 Th 3.20, 4 Ho 3.29-3.53, 2 Er 3.32-3.41
Ho: 0.1908 0.9804 0.6570  1 Th 3.20, 4 Ho 3.29-3.53, 2 Er 3.32-3.41
Ho: 0.2104 0.6766 0.0196  1 Th 3.20, 4 Ho 3.29-3.53, 2 Er 3.32-3.41
Ho: 0.2646 0.0000 0.2646  5 Ho 3.28-3.52, 2 Er 3.29, 2 Th 3.33
Ho: 0.2646 0.2646 0.0000  5 Ho 3.28-3.52, 2 Er 3.29, 2 Th 3.33
Ho: 0.3234 0.5338 0.3430  1 Th 3.20, 4 Ho 3.29-3.53, 2 Er 3.32-3.41
Ho: 0.3430 0.3234 0.5338  1 Th 3.20, 4 Ho 3.29-3.53, 2 Er 3.32-3.41
Ho: 0.4662 0.7896 0.8092  1 Th 3.20, 4 Ho 3.29-3.53, 2 Er 3.32-3.41
Ho: 0.5338 0.3430 0.3234  1 Th 3.20, 4 Ho 3.29-3.53, 2 Er 3.32-3.41
Ho: 0.6570 0.1908 0.9804  1 Th 3.20, 4 Ho 3.29-3.53, 2 Er 3.32-3.41
Ho: 0.6766 0.0196 0.2104  1 Th 3.20, 4 Ho 3.29-3.53, 2 Er 3.32-3.41
Ho: 0.7354 0.0000 0.7354  5 Ho 3.28-3.52, 2 Er 3.29, 2 Th 3.33
Ho: 0.7354 0.7354 0.0000  5 Ho 3.28-3.52, 2 Er 3.29, 2 Th 3.33
Ho: 0.7896 0.8092 0.4662  1 Th 3.20, 4 Ho 3.29-3.53, 2 Er 3.32-3.41
Ho: 0.8092 0.4662 0.7896  1 Th 3.20, 4 Ho 3.29-3.53, 2 Er 3.32-3.41
Ho: 0.9804 0.6570 0.1908  1 Th 3.20, 4 Ho 3.29-3.53, 2 Er 3.32-3.41
Er: 0.0000 0.0000 0.3556  9 Ho 3.29-3.41
Er: 0.0000 0.3556 0.0000  9 Ho 3.29-3.41
Er: 0.3556 0.0000 0.0000  9 Ho 3.29-3.41
Er: 0.6444 0.6444 0.6444  9 Ho 3.29-3.41
Th: 0.1301 0.5000 0.6301  4 Ho 3.20-3.33, 1 Th 3.22
Th: 0.3699 0.8699 0.5000  4 Ho 3.20-3.33, 1 Th 3.22
Th: 0.5000 0.3699 0.8699  4 Ho 3.20-3.33, 1 Th 3.22
Th: 0.5000 0.6301 0.1301  4 Ho 3.20-3.33, 1 Th 3.22
Th: 0.6301 0.1301 0.5000  4 Ho 3.20-3.33, 1 Th 3.22
Th: 0.8699 0.5000 0.3699  4 Ho 3.20-3.33, 1 Th 3.22